KMg2Sc after structural relaxation, computed with PBE.

Summary:
- total magnetization (μB per formula unit) = 0.00
- formation energy (eV/atom) = 0.31
- excess energy over the best structure of this formula in the dataset (meV per atom) = 144
- total energy (eV/atom) = -2.347

Lattice parameters (Å, degrees): 5.5423 5.5423 7.7484 94.44 94.44 33.28
Sites, in units of the cell vectors:
K1 0.0000 0.0000 0.0000
Mg1 0.2370 0.2370 0.6751
Mg2 0.7630 0.7630 0.3249
Sc1 0.5000 0.5000 0.5000